(i)
The following is a GGA-PBE calculation of crystalline NdDyScAg at its relaxed geometry, from Alexandria via LeMat-Bulk.

Results
* SG: F-43m (216)

Lattice parameters (Å, degrees): 5.3313 5.3313 5.3313 60.00 60.00 60.00
Sites, in units of the cell vectors:
Nd  0.0000  0.0000  0.0000
Dy  0.5000  0.5000  0.5000
Sc  0.2500  0.2500  0.2500
Ag  0.7500  0.7500  0.7500

(ii)
The following is a GGA-PBE calculation of crystalline NdDyScAg at its relaxed geometry, from Alexandria via LeMat-Bulk.

Results
* SG: P4mm (99)

Lattice parameters (Å, degrees): 3.5670 3.5670 8.4341 90.00 90.00 90.00
Sites, in units of the cell vectors:
Nd  0.0000  0.0000  0.0000
Dy  0.5000  0.5000  0.6917
Sc  0.5000  0.5000  0.2816
Ag  0.0000  0.0000  0.4653

Name the most stable of them. (ii).

(i)
The following is a GGA-PBE calculation of crystalline NdSmDyAg at its relaxed geometry, from Alexandria via LeMat-Bulk.

Results
* SG: P4mm (99)

Lattice parameters (Å, degrees): 3.6587 3.6587 8.8294 90.00 90.00 90.00
Sites, in units of the cell vectors:
Nd  0.0000  0.0000  0.0000
Sm  0.5000  0.5000  0.7064
Dy  0.5000  0.5000  0.2880
Ag  0.0000  0.0000  0.4858

(ii)
The following is a GGA-PBE calculation of crystalline NdSmDyAg at its relaxed geometry, from Alexandria via LeMat-Bulk.

Results
* SG: F-43m (216)

Lattice parameters (Å, degrees): 5.4711 5.4711 5.4711 60.00 60.00 60.00
Sites, in units of the cell vectors:
Nd  0.0000  0.0000  0.0000
Sm  0.5000  0.5000  0.5000
Dy  0.2500  0.2500  0.2500
Ag  0.7500  0.7500  0.7500

Name the most stable of them. (i).

(i)
The following is a GGA-PBE calculation of crystalline NdDyTlAg at its relaxed geometry, from Alexandria via LeMat-Bulk.

Results
* SG: F-43m (216)

Lattice parameters (Å, degrees): 5.3508 5.3508 5.3508 60.00 60.00 60.00
Sites, in units of the cell vectors:
Nd  0.0000  0.0000  0.0000
Dy  0.5000  0.5000  0.5000
Tl  0.7500  0.7500  0.7500
Ag  0.2500  0.2500  0.2500

(ii)
The following is a GGA-PBE calculation of crystalline NdDyTlAg at its relaxed geometry, from Alexandria via LeMat-Bulk.

Results
* SG: P4mm (99)

Lattice parameters (Å, degrees): 3.6968 3.6968 7.8813 90.00 90.00 90.00
Sites, in units of the cell vectors:
Nd  0.0000  0.0000  0.0000
Dy  0.0000  0.0000  0.5297
Tl  0.5000  0.5000  0.2729
Ag  0.5000  0.5000  0.7408

Name the most stable of them. (ii).

(i)
The following is a GGA-PBE calculation of crystalline Dy7Ni2Ag2 at its relaxed geometry, from Alexandria via LeMat-Bulk.

Results
* SG: Imm2 (44)

Lattice parameters (Å, degrees): 9.4644 9.4644 9.4644 157.76 66.02 118.74
Sites, in units of the cell vectors:
Dy  0.0000  0.0000  0.0000
Dy  0.0809  0.3916  0.6894
Dy  0.1005  0.7400  0.3605
Dy  0.3795  0.7400  0.6395
Dy  0.4602  0.5874  0.8728
Dy  0.7022  0.3916  0.3106
Dy  0.7146  0.5874  0.1272
Ni  0.3320  0.0917  0.2403
Ni  0.8514  0.0917  0.7597
Ag  0.3454  0.3454  0.0000
Ag  0.7457  0.2457  0.5000

(ii)
The following is a GGA-PBE calculation of crystalline Dy7Ni2Ag2 at its relaxed geometry, from Alexandria via LeMat-Bulk.

Results
* SG: Cmmm (65)

Lattice parameters (Å, degrees): 6.6908 6.6908 6.9657 90.00 90.00 109.86
Sites, in units of the cell vectors:
Dy  0.0000  0.0000  0.0000
Dy  0.0000  0.5000  0.2496
Dy  0.0000  0.5000  0.7504
Dy  0.5000  0.0000  0.2496
Dy  0.5000  0.0000  0.7504
Dy  0.5000  0.5000  0.2432
Dy  0.5000  0.5000  0.7568
Ni  0.2948  0.7052  0.0000
Ni  0.7052  0.2948  0.0000
Ag  0.1796  0.1796  0.5000
Ag  0.8204  0.8204  0.5000

Name the most stable of them. (i).